## Ba2V3BiO11 (GGA-PBEsol)

Data for a relaxed structure of Ba2V3BiO11.

Computed properties:
Crystal system: monoclinic
DFT total energy: -138.00 eV per formula unit
SG: P2_1/c, No. 14
Formation energy from raw total energies: -42.8 eV per formula unit

a b c (Å): 7.7087 11.2117 12.3074
angles (deg): 103.23 90.00 90.00
Last column: nearest neighbours and their distance in Å.
Sites, in units of the cell vectors:
O1 0.2495 0.1669 0.1652  2 V 1.79-1.80
O2 0.5574 0.2690 0.1055  1 V 1.68
O3 0.1395 0.9463 0.2813  1 V 1.67
O4 0.5373 0.0230 0.6195  1 V 1.69
O5 0.0595 0.7192 0.8704  1 V 1.67
O6 0.9436 0.5346 0.1235  1 V 1.67
O7 0.4426 0.7310 0.8945  1 V 1.68
O8 0.7923 0.1345 0.5190  1 V 1.77
O9 0.9456 0.1881 0.3197  1 V 1.71
O10 0.5594 0.2230 0.3143  1 V 1.71
O11 0.4405 0.2192 0.8704  1 V 1.67
O12 0.8022 0.8779 0.5137  1 V 1.76
O13 0.5626 0.5376 0.1111  1 V 1.68
O14 0.2505 0.6669 0.1652  2 V 1.79-1.80
O15 0.0626 0.9624 0.8889  1 V 1.68
O16 0.3022 0.6221 0.4863  1 V 1.76
O17 0.4374 0.4624 0.8889  1 V 1.68
O18 0.0373 0.4770 0.3805  1 V 1.69
O19 0.0544 0.8119 0.6803  1 V 1.71
O20 0.7505 0.8331 0.8348  2 V 1.79-1.80
O21 0.0594 0.2770 0.6857  1 V 1.71
O22 0.4406 0.7770 0.6857  1 V 1.71
O23 0.9374 0.0376 0.1111  1 V 1.68
O24 0.2923 0.3655 0.4810  1 V 1.77
O25 0.6978 0.3779 0.5137  1 V 1.76
O26 0.9406 0.7230 0.3143  1 V 1.71
O27 0.4627 0.9770 0.3805  1 V 1.69
O28 0.7495 0.3331 0.8348  2 V 1.79-1.80
O29 0.4436 0.9654 0.8765  1 V 1.67
O30 0.8605 0.0537 0.7187  1 V 1.67
O31 0.9627 0.5230 0.6195  1 V 1.69
O32 0.0574 0.2310 0.8945  1 V 1.68
O33 0.5595 0.7808 0.1296  1 V 1.67
O34 0.5564 0.0346 0.1235  1 V 1.67
O35 0.7077 0.6345 0.5190  1 V 1.77
O36 0.9405 0.2808 0.1296  1 V 1.67
O37 0.2077 0.8655 0.4810  1 V 1.77
O38 0.3605 0.4463 0.2813  1 V 1.67
O39 0.0564 0.4654 0.8765  1 V 1.67
O40 0.9426 0.7690 0.1055  1 V 1.68
O41 0.4456 0.3119 0.6803  1 V 1.71
O42 0.1978 0.1221 0.4863  1 V 1.76
O43 0.6395 0.5537 0.7187  1 V 1.67
O44 0.5544 0.6881 0.3197  1 V 1.71
Ba1 0.2731 0.5574 0.7307  8 O 2.73-2.99
Ba2 0.2488 0.8896 0.0540  9 O 2.76-2.98
Ba3 0.7512 0.1104 0.9460  9 O 2.76-2.98
Ba4 0.7731 0.9426 0.2693  8 O 2.73-2.99
Ba5 0.2269 0.0574 0.7307  8 O 2.73-2.99
Ba6 0.7488 0.6104 0.9460  9 O 2.76-2.98
Ba7 0.7269 0.4426 0.2693  8 O 2.73-2.99
Ba8 0.2512 0.3896 0.0540  9 O 2.76-2.98
Bi1 0.0002 0.2765 0.5031  5 O 2.28-2.50
Bi2 0.9998 0.7235 0.4969  5 O 2.28-2.50
Bi3 0.4998 0.7765 0.5031  5 O 2.28-2.50
Bi4 0.5002 0.2235 0.4969  5 O 2.28-2.50
V1 0.0187 0.1696 0.1858  4 O 1.67-1.80
V2 0.5197 0.8257 0.8183  4 O 1.67-1.79
V3 0.4813 0.6696 0.1858  4 O 1.67-1.80
V4 0.7468 0.5236 0.5978  4 O 1.67-1.77
V5 0.2468 0.9764 0.4022  4 O 1.67-1.77
V6 0.9813 0.8304 0.8142  4 O 1.67-1.80
V7 0.2532 0.4764 0.4022  4 O 1.67-1.77
V8 0.4803 0.1743 0.1817  4 O 1.67-1.79
V9 0.7532 0.0236 0.5978  4 O 1.67-1.77
V10 0.5187 0.3304 0.8142  4 O 1.67-1.80
V11 0.9803 0.3257 0.8183  4 O 1.67-1.79
V12 0.0197 0.6743 0.1817  4 O 1.67-1.79


## ReTe2NO (GGA-PBEsol)

Data for a relaxed structure of ReTe2NO.

Computed properties:
Crystal system: tetragonal
DFT total energy: -30.80 eV per formula unit
SG: P4/mmm, No. 123
Formation energy from raw total energies: 3.4 eV per formula unit

a b c (Å): 3.6709 5.1876 5.1876
angles (deg): 90.00 90.00 90.00
Last column: nearest neighbours and their distance in Å.
Sites, in units of the cell vectors:
N1 0.5000 0.0000 0.0000  2 Re 1.84
Re1 0.0000 0.0000 0.0000  2 N 1.84
O1 0.5000 0.5000 0.5000  8 Te 3.18
Te1 0.0000 0.5000 0.0000  2 Re 2.59
Te2 0.0000 0.0000 0.5000  2 Re 2.59


## SeIBr2 (GGA-PBEsol)

Data for a relaxed structure of SeIBr2.

Computed properties:
Crystal system: trigonal
DFT total energy: -8.77 eV per formula unit
Distance to the lowest polymorph of the same formula: 0.000 eV per atom
SG: R-3m, No. 166
Formation energy from raw total energies: 0.6 eV per formula unit

a b c (Å): 3.3623 3.3623 12.2107
angles (deg): 82.09 82.09 60.00
Last column: nearest neighbours and their distance in Å.
Sites, in units of the cell vectors:
I1 0.5000 0.5000 0.5000  6 I 3.36
Br1 0.9329 0.9329 0.2014  1 Se 2.43
Br2 0.0671 0.0671 0.7986  1 Se 2.43
Se1 0.0000 0.0000 0.0000  2 Br 2.43


## SrMgScMn2 (GGA-PBEsol)

Data for a relaxed structure of SrMgScMn2.

Computed properties:
Crystal system: tetragonal
DFT total energy: -23.23 eV per formula unit
Formation energy from the elements: 1291 meV per atom
SG: P4/mmm, No. 123

a b c (Å): 4.9565 4.9565 5.4235
angles (deg): 90.00 90.00 90.00
Last column: nearest neighbours and their distance in Å.
Sites, in units of the cell vectors:
Sr1 0.0000 0.0000 0.5000  2 Mg 2.71
Mg1 0.0000 0.0000 0.0000  4 Mn 2.48, 2 Sr 2.71
Mn1 0.5000 0.0000 0.0000  2 Mg 2.48
Mn2 0.0000 0.5000 0.0000  2 Mg 2.48
Sc1 0.5000 0.5000 0.5000  4 Sr 3.50, 8 Mn 3.67